The following is a DFT calculation (PBE+U) of a relaxed structure of Ac4V3AgO12.

The value obtained for the calculated volume is 13.515 A^3/atom. Its energy is -7.541 eV per atom.

The structure belongs to space group Im-3m (No. 229); the cell edges are 8.146, 8.146 and 8.146 Å and the angles 90.00°, 90.00° and 90.00°. The distinct sites, in fractional coordinates, are Ac at (0.250, 0.250, 0.250), V at (0.000, 0.000, 0.500), Ag at (0.000, 0.000, 0.000), O at (0.000, 0.000, 0.273) and O at (0.000, 0.250, 0.500).